{"formula": "Hf3NbBi2", "functional": "PBE-GGA", "state": "relaxed", "ef_ev_per_atom": 0.039, "total_energy_ev_per_atom": -7.909, "total_magnetization_mub_per_cell": 0.00, "n_ef_per_ev_atom": 0.85, "cell": [[4.980, 0.000, 0.905], [2.490, 6.297, 0.453], [3.415, 0.000, 9.508]], "species": ["Nb", "Nb", "Hf", "Hf", "Hf", "Hf", "Hf", "Hf", "Bi", "Bi", "Bi", "Bi"], "frac_coords": [[0.651, 0.698, 0.000], [0.349, 0.302, 0.000], [0.965, 0.637, 0.217], [0.601, 0.363, 0.217], [0.035, 0.363, 0.783], [0.399, 0.637, 0.783], [0.748, 0.000, 0.752], [0.252, 0.000, 0.248], [0.000, 0.000, 0.000], [0.828, 0.343, 0.500], [0.500, 0.000, 0.500], [0.172, 0.657, 0.500]]}